DFT (PBE) results for a relaxed MgRh2SF crystal.

Output
Theoretical density, g cm⁻³: 5.0
Crystal system: tetragonal
E_form (uncorrected), eV/atom: -0.267
Uncorrected energy, eV per atom: -4.726

Cell lengths 4.267, 5.147, 4.267 Å; angles 90.00, 90.00, 90.00 degrees
Element x y z (fractional)
Rh 0.000 0.000 0.500
Rh 0.500 0.000 0.000
F 0.500 0.500 0.500
Mg 0.000 0.500 0.000
S 0.000 0.000 0.000

DFT (PBE) results for a relaxed MgRhSeF2 crystal.

Output
Theoretical density, g cm⁻³: 4.7
Crystal system: tetragonal
E_form (uncorrected), eV/atom: -0.674
Uncorrected energy, eV per atom: -3.908

Cell lengths 4.297, 4.699, 4.297 Å; angles 90.00, 90.00, 90.00 degrees
Element x y z (fractional)
F 0.500 0.000 0.000
F 0.000 0.000 0.500
Se 0.000 0.000 0.000
Rh 0.000 0.500 0.000
Mg 0.500 0.500 0.500

DFT (PBE) results for a relaxed MgTa2RhF crystal.

Output
Theoretical density, g cm⁻³: 7.2
Crystal system: tetragonal
E_form (uncorrected), eV/atom: 0.644
Uncorrected energy, eV per atom: -6.260

Cell lengths 4.803, 5.087, 4.803 Å; angles 90.00, 90.00, 90.00 degrees
Site moments in Bohr magnetons follow the coordinates.
Element x y z (fractional)
F 0.500 0.500 0.500  0.04
Ta 0.000 0.000 0.500  0.55
Ta 0.500 0.000 0.000  0.66
Mg 0.000 0.500 0.000  0.00
Rh 0.000 0.000 0.000  -0.01

DFT (PBE) results for a relaxed Mg2TeRhF crystal.

Output
Theoretical density, g cm⁻³: 4.7
Crystal system: tetragonal
E_form (uncorrected), eV/atom: -0.608
Uncorrected energy, eV per atom: -3.719

Cell lengths 5.048, 4.092, 5.048 Å; angles 90.00, 90.00, 90.00 degrees
Element x y z (fractional)
Te 0.500 0.500 0.500
Mg 0.000 0.000 0.500
Mg 0.500 0.000 0.000
Rh 0.000 0.000 0.000
F 0.000 0.500 0.000